{"formula": "FeMo3", "functional": "GGA-PBE", "state": "relaxed", "lattice_angstrom": [[-0.9116, -2.5028, 0.3661], [1.2604, 0.0945, -2.3730], [7.4590, -2.1497, 3.8762]], "species": ["Mo", "Mo", "Mo", "Fe"], "frac_coords": [[0.5000, 0.5000, 0.2388], [0.5000, 0.5000, 0.7612], [0.0000, 0.0000, 0.5000], [0.0000, 0.0000, 0.0000]], "dft_energy_ev_per_atom": -10.1833, "formation_enthalpy_0k_mev_per_atom": 56}